No. 1
## Hg2PtAu (meta-GGA SCAN)

Data for a PBEsol-optimized structure of Hg2PtAu.

Cell and atoms, written as POSCAR:
```
Hg2PtAu
1.0
2.9489 0.0000 0.0000
0.0000 4.2530 0.0000
0.0000 0.0000 5.7749
Hg Pt Au
2 1 1
Cartesian
0.0000 0.0000 0.0000
1.4744 2.1265 1.6778
0.0000 0.0000 2.9272
1.4744 2.1265 4.4540
```

Computed properties:
The excess energy over the best structure of this formula in the dataset is 0.0422 eV per atom. The calculation puts the volume at 72.4 Å³ per cell. As for the energy of formation: 0.1674 eV/atom. The value obtained for the calculated total energy is -275.0 eV for the cell shown.

=====

No. 2
## LiGa3B (meta-GGA SCAN)

Data for a PBEsol-optimized structure of LiGa3B.

Cell and atoms, written as POSCAR:
```
LiGa3B
1.0
4.4209 0.0000 0.0000
0.0000 4.4209 0.0000
0.0000 0.0000 4.4209
Li Ga B
1 3 1
Cartesian
0.0000 0.0000 0.0000
0.0000 0.0000 2.2104
0.0000 2.2104 0.0000
2.2104 0.0000 0.0000
2.2104 2.2104 2.2104
```

Computed properties:
The calculation puts the volume at 86.4 Å³ per cell. As for the energy of formation: 1.1318 eV/atom. The value obtained for the calculated total energy is -53.2 eV for the cell shown.

=====

No. 3
## YMgCu (meta-GGA SCAN)

Data for a PBEsol-optimized structure of YMgCu.

Cell and atoms, written as POSCAR:
```
YMgCu
1.0
4.4987 0.0000 0.0000
0.0000 9.5763 0.0000
0.0000 0.0000 5.6952
Y Mg Cu
4 4 4
Cartesian
0.0000 1.8713 1.4238
0.0000 7.7050 4.2714
2.2493 2.9168 4.2714
2.2493 6.6594 1.4238
0.0000 4.7881 0.0000
0.0000 4.7881 2.8476
2.2493 0.0000 0.0000
2.2493 0.0000 2.8476
0.0000 1.0264 4.2714
0.0000 8.5499 1.4238
2.2493 3.7617 1.4238
2.2493 5.8146 4.2714
```

Computed properties:
The excess energy over the best structure of this formula in the dataset is 0.0312 eV per atom. The calculation puts the volume at 245.4 Å³ per cell. As for the energy of formation: -0.2405 eV/atom. The value obtained for the calculated total energy is -194.9 eV for the cell shown.

=====

No. 4
## ErAl8Fe4 (meta-GGA SCAN)

Data for a PBEsol-optimized structure of ErAl8Fe4.

Cell and atoms, written as POSCAR:
```
ErAl8Fe4
1.0
-4.2923 4.2923 2.4820
4.2923 -4.2923 2.4820
4.2923 4.2923 -2.4820
Er Al Fe
1 8 4
Cartesian
0.0000 0.0000 0.0000
2.9109 0.0000 0.0000
5.6737 0.0000 0.0000
4.2923 2.4068 0.0000
0.0000 2.9109 0.0000
2.4068 4.2923 0.0000
1.8854 0.0000 2.4820
0.0000 5.6737 0.0000
0.0000 1.8854 2.4820
2.1461 2.1461 -1.2410
2.1461 -2.1461 1.2410
-2.1461 2.1461 1.2410
2.1461 2.1461 1.2410
```

Computed properties:
The calculation puts the volume at 182.9 Å³ per cell. As for the energy of formation: -0.4679 eV/atom. The value obtained for the calculated total energy is -191.0 eV for the cell shown.

=====

No. 5
## La2Ga7Au (meta-GGA SCAN)

Data for a PBEsol-optimized structure of La2Ga7Au.

Cell and atoms, written as POSCAR:
```
La2Ga7Au
1.0
4.3893 0.0000 0.0000
0.0000 4.3893 0.0000
0.0000 0.0000 10.3476
La Ga Au
2 7 1
Cartesian
0.0000 0.0000 0.0000
2.1947 2.1947 5.1752
0.0000 0.0000 4.0305
0.0000 0.0000 6.4734
0.0000 2.1947 2.6510
0.0000 2.1947 7.8127
2.1947 0.0000 2.6510
2.1947 0.0000 7.8127
2.1947 2.1947 9.2104
2.1947 2.1947 1.3434
```

Computed properties:
The calculation puts the volume at 199.4 Å³ per cell. As for the energy of formation: -0.7262 eV/atom. The value obtained for the calculated total energy is -277.1 eV for the cell shown.

=====

No. 6
## NiSe2Br (meta-GGA SCAN)

Data for a PBEsol-optimized structure of NiSe2Br.

Cell and atoms, written as POSCAR:
```
NiSe2Br
1.0
4.8937 0.0000 0.0000
0.0000 4.8937 0.0000
0.0000 0.0000 2.9619
Ni Se Br
1 2 1
Cartesian
0.0000 0.0000 0.0000
0.0000 2.4468 1.4810
2.4468 0.0000 1.4810
2.4468 2.4468 0.0000
```

Computed properties:
The excess energy over the best structure of this formula in the dataset is 1.1089 eV per atom. The calculation puts the volume at 70.9 Å³ per cell. As for the uncorrected formation energy: 0.8316 eV/atom. The value obtained for the calculated total energy is -72.5 eV for the cell shown.

=====

No. 7
## SiTc2Ir (meta-GGA SCAN)

Data for a PBEsol-optimized structure of SiTc2Ir.

Cell and atoms, written as POSCAR:
```
SiTc2Ir
1.0
3.8025 0.0000 0.0000
0.0000 3.8025 0.0000
0.0000 0.0000 7.4993
Si Tc Ir
2 4 2
Cartesian
0.0000 0.0000 0.0000
1.9012 1.9012 3.7497
0.0000 0.0000 3.7497
0.0000 1.9012 1.8748
1.9012 0.0000 5.6245
1.9012 1.9012 0.0000
0.0000 1.9012 5.6245
1.9012 0.0000 1.8748
```

Computed properties:
The calculation puts the volume at 108.4 Å³ per cell. As for the uncorrected formation energy: -0.1882 eV/atom. The value obtained for the calculated total energy is -304.0 eV for the cell shown.

=====

No. 8
## Te2WBr (meta-GGA SCAN)

Data for a PBEsol-optimized structure of Te2WBr.

Cell and atoms, written as POSCAR:
```
Te2WBr
1.0
3.4297 0.0000 0.0000
0.0000 4.9445 0.0000
0.0000 0.0000 5.0003
Te W Br
2 1 1
Cartesian
0.0000 0.0000 0.0000
1.7149 0.0000 2.5001
0.0000 2.4723 2.5001
1.7149 2.4723 0.0000
```

Computed properties:
The excess energy over the best structure of this formula in the dataset is 0.8461 eV per atom. The calculation puts the volume at 84.8 Å³ per cell. As for the uncorrected formation energy: 1.2872 eV/atom. The value obtained for the calculated total energy is -158.5 eV for the cell shown.

=====

No. 9
## KSnF3 (meta-GGA SCAN)

Data for a PBEsol-optimized structure of KSnF3.

Cell and atoms, written as POSCAR:
```
KSnF3
1.0
8.0035 0.0000 0.0000
2.7664 9.4596 0.0000
3.1120 1.0016 9.6142
K Sn F
8 8 24
Cartesian
2.4431 3.9725 3.5193
6.4591 5.9704 9.4763
3.5228 0.5896 4.7148
7.3091 6.7762 5.8137
6.5729 3.6850 3.8005
10.3592 9.8716 4.8995
7.4229 4.4908 0.1379
11.4389 6.4887 6.0949
1.1949 1.2201 1.3327
4.8297 3.0616 7.2371
5.1216 7.0781 2.4063
8.8290 9.0249 8.4439
5.0530 1.4363 1.1703
8.7604 3.3831 7.2079
9.0523 7.3996 2.3771
12.6871 9.2411 8.2815
2.9578 6.2265 2.2469
1.6715 3.1054 0.5684
4.2331 8.6003 3.4524
5.2678 8.3308 6.5225
6.7072 8.5311 8.8954
4.3525 3.1307 5.2322
3.1629 1.6693 2.3697
5.6691 4.9525 7.1378
5.1238 5.9157 4.1044
8.1116 9.2783 6.5248
5.0777 3.5183 1.4222
6.9782 7.8795 3.3429
6.9038 2.5817 6.2713
8.8043 6.9429 8.1920
5.7705 1.1829 3.0894
8.7582 4.5455 5.5098
8.2129 5.5087 2.4764
10.7192 8.7919 7.2445
9.5295 7.3305 4.3820
7.1748 1.9301 0.7188
8.6142 2.1304 3.0917
9.6489 1.8609 6.1618
12.2105 7.3558 9.0458
10.9243 4.2347 7.3673
```

Computed properties:
The calculation puts the volume at 727.9 Å³ per cell. As for the uncorrected formation energy: -2.6371 eV/atom. The value obtained for the calculated total energy is -544.4 eV for the cell shown.

=====

No. 10
## Na5Li4Ti5O14 (meta-GGA SCAN)

Data for a PBEsol-optimized structure of Na5Li4Ti5O14.

Cell and atoms, written as POSCAR:
```
Na5Li4Ti5O14
1.0
5.1512 0.0000 0.0000
0.9477 6.8705 0.0000
1.6703 -0.0705 7.9019
Na Li Ti O
5 4 5 14
Cartesian
0.0000 0.0000 0.0000
2.5412 4.8194 5.5618
2.4617 0.9737 1.0897
5.1366 5.8921 6.7563
5.0907 1.8671 2.2131
1.6972 5.8017 2.8477
2.4866 2.8429 3.4856
3.3875 1.9672 6.1733
5.0999 3.7957 4.3798
1.6984 3.9123 0.6014
3.3698 0.0120 3.9560
4.2796 4.8914 1.7962
5.9245 2.8857 7.2252
5.9403 0.9952 5.0392
0.7745 2.2277 0.1268
1.7431 0.9224 3.3089
2.4173 0.1037 5.6685
2.6283 5.6171 0.9796
3.6112 4.9618 3.5745
4.2913 3.7732 6.7137
3.3836 3.0997 1.2681
4.2363 1.7525 4.2760
5.1934 1.1228 6.8797
5.0307 6.6417 2.1072
5.9612 6.1536 4.6771
6.8457 4.6635 7.7913
5.9597 3.9670 2.3719
6.6097 2.8383 5.3706
```

Computed properties:
The calculation puts the volume at 279.7 Å³ per cell. As for the uncorrected formation energy: -2.7596 eV/atom. The value obtained for the calculated total energy is -275.3 eV for the cell shown.

=====

> Which formula does entry 7 have?

SiTc2Ir

=====

> Which value of calculated total energy does entry 3 give?

-194.9 eV for the cell shown